Run P
The following is a GGA-PBE calculation of a geometry-optimized YPdI3 structure, from Alexandria.

DOS at the Fermi energy   5.1 states/eV/f.u.

a b c (Å): 5.4739 5.4739 5.4739
angles (deg): 90.00 90.00 90.00
Space group Pm-3m (No. 221)
Asymmetric unit:
Y: 0.0000 0.0000 0.0000 (multiplicity 1)
Pd: 0.5000 0.5000 0.5000 (multiplicity 1)
I: 0.0000 0.5000 0.5000 (multiplicity 3)

Run Q
The following is a GGA-PBE calculation of a geometry-optimized YPdI3 structure, from Alexandria.

DOS at the Fermi energy   0.0 states/eV/f.u.

a b c (Å): 5.9750 5.9750 5.9750
angles (deg): 90.00 90.00 90.00
Space group Pm-3m (No. 221)
Asymmetric unit:
Y: 0.0000 0.0000 0.0000 (multiplicity 1)
Pd: 0.5000 0.5000 0.5000 (multiplicity 1)
I: 0.0000 0.0000 0.5000 (multiplicity 3)

It is run Q that is most stable; the runner-up trails by 179 meV/atom.

Run P
The following is a GGA-PBE calculation of a geometry-optimized Zn2PdI structure, from Alexandria.

DOS at the Fermi energy   1.9 states/eV/f.u.

a b c (Å): 4.6266 4.6266 17.6774
angles (deg): 90.00 90.00 90.00
Space group I-42d (No. 122)
Asymmetric unit:
Zn: 0.1089 0.2500 0.1250 (multiplicity 8)
Pd: 0.0000 0.0000 0.0000 (multiplicity 4)
I: 0.0000 0.0000 0.5000 (multiplicity 4)

Run Q
The following is a GGA-PBE calculation of a geometry-optimized Zn2PdI structure, from Alexandria.

DOS at the Fermi energy   4.9 states/eV/f.u.

a b c (Å): 6.8727 6.8727 6.8727
angles (deg): 90.00 90.00 90.00
Space group Fm-3m (No. 225)
Asymmetric unit:
Zn: 0.2500 0.2500 0.2500 (multiplicity 8)
Pd: 0.0000 0.0000 0.0000 (multiplicity 4)
I: 0.0000 0.0000 0.5000 (multiplicity 4)

It is run P that is most stable; the runner-up trails by 422 meV/atom.

Run P
The following is a GGA-PBE calculation of a geometry-optimized ZrPdI3 structure, from Alexandria.

DOS at the Fermi energy   6.9 states/eV/f.u.

a b c (Å): 5.4407 5.4407 5.4407
angles (deg): 90.00 90.00 90.00
Space group Pm-3m (No. 221)
Asymmetric unit:
Zr: 0.0000 0.0000 0.0000 (multiplicity 1)
Pd: 0.5000 0.5000 0.5000 (multiplicity 1)
I: 0.0000 0.5000 0.5000 (multiplicity 3)

Run Q
The following is a GGA-PBE calculation of a geometry-optimized ZrPdI3 structure, from Alexandria.

DOS at the Fermi energy   3.2 states/eV/f.u.

a b c (Å): 5.7011 5.7011 5.7011
angles (deg): 90.00 90.00 90.00
Space group Pm-3m (No. 221)
Asymmetric unit:
Zr: 0.0000 0.0000 0.0000 (multiplicity 1)
Pd: 0.5000 0.5000 0.5000 (multiplicity 1)
I: 0.0000 0.0000 0.5000 (multiplicity 3)

It is run Q that is most stable; the runner-up trails by 285 meV/atom.

Run P
The following is a GGA-PBE calculation of a geometry-optimized Zr2PdI structure, from Alexandria.

DOS at the Fermi energy   2.4 states/eV/f.u.

a b c (Å): 6.9469 6.9469 6.9469
angles (deg): 90.00 90.00 90.00
Space group Fm-3m (No. 225)
Asymmetric unit:
Zr: 0.2500 0.2500 0.2500 (multiplicity 8)
Pd: 0.0000 0.0000 0.0000 (multiplicity 4)
I: 0.0000 0.0000 0.5000 (multiplicity 4)

Run Q
The following is a GGA-PBE calculation of a geometry-optimized Zr2PdI structure, from Alexandria.

DOS at the Fermi energy   4.0 states/eV/f.u.

a b c (Å): 6.1944 6.1944 13.0021
angles (deg): 90.00 90.00 90.00
Space group I-42d (No. 122)
Asymmetric unit:
Zr: 0.1974 0.2500 0.1250 (multiplicity 8)
Pd: 0.0000 0.0000 0.0000 (multiplicity 4)
I: 0.0000 0.0000 0.5000 (multiplicity 4)

It is run P that is most stable; the runner-up trails by 471 meV/atom.

Run P
The following is a GGA-PBE calculation of a geometry-optimized PmPr2I structure, from Alexandria.

DOS at the Fermi energy   4.1 states/eV/f.u.

a b c (Å): 3.7492 3.7492 9.8722
angles (deg): 90.00 90.00 90.00
Space group P4/mmm (No. 123)
Asymmetric unit:
Pm: 0.0000 0.0000 0.0000 (multiplicity 1)
Pr: 0.5000 0.5000 0.2592 (multiplicity 2)
I: 0.0000 0.0000 0.5000 (multiplicity 1)

Run Q
The following is a GGA-PBE calculation of a geometry-optimized PmPr2I structure, from Alexandria.

DOS at the Fermi energy   5.6 states/eV/f.u.

a b c (Å): 3.8681 3.8681 32.7652
angles (deg): 90.00 90.00 120.00
Space group R3m (No. 160, hexagonal axes)
Asymmetric unit:
Pm: 0.0000 0.0000 0.0000 (multiplicity 3)
Pr: 0.0000 0.0000 0.2444 (multiplicity 3)
Pr: 0.0000 0.0000 0.4218 (multiplicity 3)
I: 0.0000 0.0000 0.8334 (multiplicity 3)

It is run Q that is most stable; the runner-up trails by 37 meV/atom.

Run P
The following is a GGA-PBE calculation of a geometry-optimized PmPrI structure, from Alexandria.

DOS at the Fermi energy   3.9 states/eV/f.u.

a b c (Å): 3.7708 3.7708 14.5033
angles (deg): 90.00 90.00 90.00
Space group I4mm (No. 107)
Asymmetric unit:
Pm: 0.0000 0.0000 0.0000 (multiplicity 2)
Pr: 0.0000 0.0000 0.6766 (multiplicity 2)
I: 0.0000 0.0000 0.3416 (multiplicity 2)

Run Q
The following is a GGA-PBE calculation of a geometry-optimized PmPrI structure, from Alexandria.

DOS at the Fermi energy   3.7 states/eV/f.u.

a b c (Å): 3.9416 3.9416 7.8840
angles (deg): 90.00 90.00 120.00
Space group P3m1 (No. 156)
Asymmetric unit:
Pm: 0.0000 0.0000 0.0000 (multiplicity 1)
Pr: 0.6667 0.3333 0.3571 (multiplicity 1)
I: 0.3333 0.6667 0.6847 (multiplicity 1)

It is run Q that is most stable; the runner-up trails by 78 meV/atom.